[1]
Below is a relaxed TaP2RuS crystal, with properties calculated at the PBE level.

Unit cell a=4.449 b=4.449 c=4.672 alpha=90.00 beta=90.00 gamma=90.00
Atoms (fractional coordinates):
Ta 0.000 0.000 0.000
P 0.000 0.500 0.500
P 0.500 0.000 0.500
Ru 0.500 0.500 0.500
S 0.500 0.500 0.000

Results
electronic total energy: -6.296 eV/atom
energy above the most stable polymorph in this dataset: 76 meV/atom
formation energy without anion corrections: 0.92 eV per atom

---

[2]
Below is a relaxed SrRuSe2N crystal, with properties calculated at the PBE level.

Unit cell a=5.697 b=5.697 c=4.601 alpha=90.00 beta=90.00 gamma=90.00
Atoms (fractional coordinates):
Sr 0.000 0.000 0.000
Ru 0.500 0.500 0.500
Se 0.000 0.500 0.000
Se 0.500 0.000 0.000
N 0.000 0.000 0.500

Results
electronic total energy: -3.588 eV/atom
energy above the most stable polymorph in this dataset: 2137 meV/atom
formation energy without anion corrections: 1.66 eV per atom

---

[3]
Below is a relaxed CdBICl2 crystal, with properties calculated at the PBE level.

Unit cell a=5.563 b=5.563 c=5.981 alpha=90.00 beta=90.00 gamma=90.00
Atoms (fractional coordinates):
Cd 0.000 0.000 0.000
B 0.500 0.500 0.000
I 0.000 0.000 0.500
Cl 0.000 0.500 0.500
Cl 0.500 0.000 0.500

Results
electronic total energy: -1.455 eV/atom
formation energy without anion corrections: 1.11 eV per atom

---

[4]
Below is a relaxed Rb2GaPbSe4 crystal, with properties calculated at the PBE level.

Unit cell a=6.980 b=6.980 c=6.980 alpha=105.23 beta=105.23 gamma=118.33
Atoms (fractional coordinates):
Rb 0.000 0.500 0.500
Rb 0.500 0.000 0.500
Ga 0.000 0.000 0.000
Pb 0.500 0.500 0.000
Se 0.047 0.047 0.672
Se 0.375 0.375 0.328
Se 0.625 0.953 0.000
Se 0.953 0.625 0.000

Results
electronic total energy: -3.600 eV/atom
formation energy without anion corrections: -0.77 eV per atom